Arrangement P

Density functional theory data (PBE) for crystalline Tb9PrDy2 at its relaxed geometry.

Cell lengths 5.048, 5.048, 15.150 Å; angles 90.00, 90.00, 90.00 degrees
Atoms (fractional coordinates):
Tb  0.500  0.500  0.000
Tb  0.500  0.500  0.335
Tb  0.500  0.500  0.665
Tb  0.500  0.000  0.169
Tb  0.500  0.000  0.500
Tb  0.500  0.000  0.831
Tb  0.000  0.500  0.169
Tb  0.000  0.500  0.500
Tb  0.000  0.500  0.831
Pr  0.000  0.000  0.000
Dy  0.000  0.000  0.335
Dy  0.000  0.000  0.665

## Properties
magnetic moment = 0.0 μB/cell
density of states at the Fermi level = 18.6 states/eV/f.u.
space group = P4/mmm

Arrangement Q

Density functional theory data (PBE) for crystalline Tb9PrDy2 at its relaxed geometry.

Cell lengths 3.522, 11.289, 11.289 Å; angles 120.00, 90.00, 90.00 degrees
Atoms (fractional coordinates):
Tb  0.000  0.000  0.500
Tb  0.000  0.500  0.500
Tb  0.000  0.500  0.000
Tb  0.500  0.355  0.178
Tb  0.500  0.178  0.822
Tb  0.500  0.178  0.355
Tb  0.500  0.822  0.645
Tb  0.500  0.822  0.178
Tb  0.500  0.645  0.822
Pr  0.000  0.000  0.000
Dy  0.000  0.333  0.667
Dy  0.000  0.667  0.333

## Properties
magnetic moment = 0.0 μB/cell
density of states at the Fermi level = 15.5 states/eV/f.u.
space group = P6/mmm

Q: Which of them is the least stable? A: arrangement Q.

Arrangement P

Density functional theory data (PBE) for crystalline TbPr6Dy8 at its relaxed geometry.

Cell lengths 9.981, 9.981, 5.910 Å; angles 90.00, 90.00, 120.00 degrees
Atoms (fractional coordinates):
Tb  0.000  0.000  0.500
Pr  0.721  0.946  0.229
Pr  0.225  0.279  0.229
Pr  0.054  0.775  0.229
Pr  0.279  0.054  0.771
Pr  0.775  0.721  0.771
Pr  0.946  0.225  0.771
Dy  0.619  0.526  0.256
Dy  0.907  0.381  0.256
Dy  0.474  0.093  0.256
Dy  0.381  0.474  0.744
Dy  0.093  0.619  0.744
Dy  0.526  0.907  0.744
Dy  0.667  0.333  0.774
Dy  0.333  0.667  0.226

## Properties
magnetic moment = 0.0 μB/cell
density of states at the Fermi level = 24.8 states/eV/f.u.
space group = P-3

Arrangement Q

Density functional theory data (PBE) for crystalline TbPr6Dy8 at its relaxed geometry.

Cell lengths 9.156, 9.156, 8.772 Å; angles 58.54, 58.54, 60.00 degrees
Atoms (fractional coordinates):
Tb  0.000  0.000  0.000
Pr  0.462  0.899  0.868
Pr  0.101  0.230  0.132
Pr  0.230  0.538  0.132
Pr  0.770  0.462  0.868
Pr  0.899  0.770  0.868
Pr  0.538  0.101  0.132
Dy  0.249  0.284  0.579
Dy  0.716  0.113  0.421
Dy  0.113  0.751  0.421
Dy  0.577  0.577  0.270
Dy  0.423  0.423  0.730
Dy  0.887  0.249  0.579
Dy  0.284  0.887  0.579
Dy  0.751  0.716  0.421

## Properties
magnetic moment = 0.0 μB/cell
density of states at the Fermi level = 21.6 states/eV/f.u.
space group = R-3

Q: Which of them is the least stable? A: arrangement P.

Arrangement P

Density functional theory data (PBE) for crystalline Tb2PrDy7 at its relaxed geometry.

Cell lengths 5.452, 8.907, 9.479 Å; angles 118.05, 73.28, 127.78 degrees
Atoms (fractional coordinates):
Tb  0.499  0.699  0.398
Tb  0.501  0.301  0.602
Pr  0.000  0.000  0.000
Dy  0.000  0.800  0.599
Dy  0.000  0.200  0.401
Dy  0.249  0.639  0.781
Dy  0.751  0.361  0.219
Dy  0.248  0.857  0.219
Dy  0.752  0.143  0.781
Dy  0.500  0.500  0.000

## Properties
magnetic moment = 0.0 μB/cell
density of states at the Fermi level = 17.0 states/eV/f.u.
space group = P-1

Arrangement Q

Density functional theory data (PBE) for crystalline Tb2PrDy7 at its relaxed geometry.

Cell lengths 5.617, 9.164, 9.164 Å; angles 123.15, 90.00, 90.00 degrees
Atoms (fractional coordinates):
Tb  0.500  0.703  0.297
Tb  0.500  0.297  0.703
Pr  0.000  0.000  0.000
Dy  0.000  0.782  0.218
Dy  0.000  0.218  0.782
Dy  0.500  0.062  0.292
Dy  0.500  0.938  0.708
Dy  0.500  0.292  0.062
Dy  0.500  0.708  0.938
Dy  0.500  0.500  0.500

## Properties
magnetic moment = 0.0 μB/cell
density of states at the Fermi level = 14.1 states/eV/f.u.
space group = Cmmm

Q: Which of them is the least stable? A: arrangement Q.

Arrangement P

Density functional theory data (PBE) for crystalline Tb5PrDy2 at its relaxed geometry.

Cell lengths 8.864, 16.438, 11.249 Å; angles 90.00, 90.00, 161.03 degrees
Atoms (fractional coordinates):
Tb  0.381  0.046  0.923
Tb  0.381  0.046  0.577
Tb  0.489  0.685  0.424
Tb  0.489  0.685  0.076
Tb  0.551  0.317  0.250
Tb  0.449  0.683  0.750
Tb  0.511  0.315  0.576
Tb  0.511  0.315  0.924
Tb  0.619  0.954  0.077
Tb  0.619  0.954  0.423
Pr  0.346  0.846  0.750
Pr  0.654  0.154  0.250
Dy  0.687  0.574  0.384
Dy  0.687  0.574  0.116
Dy  0.313  0.426  0.616
Dy  0.313  0.426  0.884

## Properties
magnetic moment = 0.0 μB/cell
density of states at the Fermi level = 12.6 states/eV/f.u.
space group = P2_1/m

Arrangement Q

Density functional theory data (PBE) for crystalline Tb5PrDy2 at its relaxed geometry.

Cell lengths 5.043, 7.158, 14.316 Å; angles 90.00, 90.00, 90.00 degrees
Atoms (fractional coordinates):
Tb  0.000  0.000  0.000
Tb  0.000  0.500  0.500
Tb  0.000  0.499  0.749
Tb  0.000  0.501  0.251
Tb  0.000  0.001  0.249
Tb  0.000  0.999  0.751
Tb  0.500  0.249  0.874
Tb  0.500  0.751  0.126
Tb  0.500  0.251  0.374
Tb  0.500  0.749  0.626
Pr  0.000  0.000  0.500
Pr  0.000  0.500  0.000
Dy  0.500  0.250  0.626
Dy  0.500  0.750  0.374
Dy  0.500  0.250  0.126
Dy  0.500  0.750  0.874

## Properties
magnetic moment = 0.0 μB/cell
density of states at the Fermi level = 10.1 states/eV/f.u.
space group = Pbam

Q: Which of them is the least stable? A: arrangement P.

Arrangement P

Density functional theory data (PBE) for crystalline TbPr6Dy4 at its relaxed geometry.

Cell lengths 6.855, 6.855, 9.575 Å; angles 110.98, 110.98, 90.00 degrees
Atoms (fractional coordinates):
Tb  0.500  0.500  0.000
Pr  0.870  0.486  0.357
Pr  0.486  0.870  0.357
Pr  0.514  0.514  0.643
Pr  0.000  0.500  0.000
Pr  0.130  0.130  0.643
Pr  0.500  0.000  0.000
Dy  0.061  0.712  0.772
Dy  0.939  0.939  0.228
Dy  0.712  0.061  0.772
Dy  0.288  0.288  0.228

## Properties
magnetic moment = 0.0 μB/cell
density of states at the Fermi level = 15.5 states/eV/f.u.
space group = I-42m

Arrangement Q

Density functional theory data (PBE) for crystalline TbPr6Dy4 at its relaxed geometry.

Cell lengths 10.003, 10.003, 10.003 Å; angles 55.80, 141.36, 141.36 degrees
Atoms (fractional coordinates):
Tb  0.000  0.000  0.000
Pr  0.000  0.816  0.458
Pr  0.000  0.458  0.816
Pr  0.358  0.542  0.542
Pr  0.500  0.500  0.000
Pr  0.642  0.184  0.184
Pr  0.500  0.000  0.500
Dy  0.000  0.640  0.010
Dy  0.370  0.360  0.360
Dy  0.000  0.010  0.640
Dy  0.630  0.990  0.990

## Properties
magnetic moment = 0.0 μB/cell
density of states at the Fermi level = 17.4 states/eV/f.u.
space group = I-42m

Q: Which of them is the least stable? A: arrangement P.

Arrangement P

Density functional theory data (PBE) for crystalline Tb2Pr3Dy6 at its relaxed geometry.

Cell lengths 4.781, 4.781, 16.999 Å; angles 98.08, 98.08, 90.00 degrees
Atoms (fractional coordinates):
Tb  0.454  0.454  0.908
Tb  0.546  0.546  0.092
Pr  0.000  0.000  0.000
Pr  0.796  0.796  0.591
Pr  0.204  0.204  0.409
Dy  0.120  0.620  0.240
Dy  0.620  0.120  0.240
Dy  0.880  0.380  0.760
Dy  0.380  0.880  0.760
Dy  0.692  0.692  0.384
Dy  0.308  0.308  0.616

## Properties
magnetic moment = 0.0 μB/cell
density of states at the Fermi level = 15.8 states/eV/f.u.
space group = I4/mmm

Arrangement Q

Density functional theory data (PBE) for crystalline Tb2Pr3Dy6 at its relaxed geometry.

Cell lengths 5.834, 6.536, 11.779 Å; angles 79.94, 66.97, 63.49 degrees
Atoms (fractional coordinates):
Tb  0.139  0.723  0.500
Tb  0.861  0.277  0.500
Pr  0.000  0.000  0.000
Pr  0.313  0.375  0.000
Pr  0.687  0.625  0.000
Dy  0.501  0.689  0.707
Dy  0.799  0.000  0.769
Dy  0.190  0.311  0.707
Dy  0.201  0.000  0.231
Dy  0.499  0.311  0.293
Dy  0.810  0.689  0.293

## Properties
magnetic moment = 0.0 μB/cell
density of states at the Fermi level = 16.9 states/eV/f.u.
space group = C2/m

Q: Which of them is the least stable? A: arrangement P.

Arrangement P

Density functional theory data (PBE) for crystalline Tb4PrDy at its relaxed geometry.

Cell lengths 6.937, 6.937, 9.768 Å; angles 90.00, 90.00, 121.82 degrees
Atoms (fractional coordinates):
Tb  0.653  0.347  0.929
Tb  0.347  0.653  0.429
Tb  0.347  0.653  0.071
Tb  0.653  0.347  0.571
Tb  0.363  0.155  0.250
Tb  0.637  0.845  0.750
Tb  0.155  0.363  0.750
Tb  0.845  0.637  0.250
Pr  0.177  0.823  0.750
Pr  0.823  0.177  0.250
Dy  0.000  0.000  0.000
Dy  0.000  0.000  0.500

## Properties
magnetic moment = 0.0 μB/cell
density of states at the Fermi level = 8.5 states/eV/f.u.
space group = Cmcm

Arrangement Q

Density functional theory data (PBE) for crystalline Tb4PrDy at its relaxed geometry.

Cell lengths 5.060, 8.015, 11.340 Å; angles 148.09, 89.94, 108.44 degrees
Atoms (fractional coordinates):
Tb  0.834  0.669  0.500
Tb  0.166  0.331  0.500
Tb  0.333  0.665  0.001
Tb  0.667  0.335  0.999
Pr  0.000  0.000  0.000
Dy  0.500  0.000  0.500

## Properties
magnetic moment = 0.0 μB/cell
density of states at the Fermi level = 8.1 states/eV/f.u.
space group = P-1

Arrangement R

Density functional theory data (PBE) for crystalline Tb4PrDy at its relaxed geometry.

Cell lengths 6.619, 6.619, 6.619 Å; angles 60.00, 60.00, 60.00 degrees
Each line ends with the local moment (μB).
Atoms (fractional coordinates):
Pr  0.250  0.250  0.250  0.12
Tb  0.625  0.625  0.124  0.03
Tb  0.625  0.124  0.625  0.03
Tb  0.625  0.625  0.625  0.03
Tb  0.124  0.625  0.625  0.03
Dy  0.000  0.000  0.000  0.11

## Properties
magnetic moment = 0.6 μB/cell
density of states at the Fermi level = 11.5 states/eV/f.u.
space group = F-43m

Q: Which of them is the least stable? A: arrangement R.

Arrangement P

Density functional theory data (PBE) for crystalline Tb2Pr6Dy at its relaxed geometry.

Cell lengths 3.688, 10.145, 10.145 Å; angles 55.94, 90.00, 90.00 degrees
Atoms (fractional coordinates):
Tb  0.500  0.176  0.176
Tb  0.500  0.824  0.824
Pr  0.000  0.510  0.160
Pr  0.000  0.840  0.490
Pr  0.000  0.490  0.840
Pr  0.500  0.684  0.316
Pr  0.000  0.160  0.510
Pr  0.500  0.316  0.684
Dy  0.000  0.000  0.000

## Properties
magnetic moment = 0.0 μB/cell
density of states at the Fermi level = 12.4 states/eV/f.u.
space group = Cmmm

Arrangement Q

Density functional theory data (PBE) for crystalline Tb2Pr6Dy at its relaxed geometry.

Cell lengths 8.334, 8.334, 10.590 Å; angles 90.00, 90.00, 90.00 degrees
Atoms (fractional coordinates):
Tb  0.000  0.000  0.333
Tb  0.500  0.500  0.833
Tb  0.500  0.500  0.167
Tb  0.000  0.000  0.667
Pr  0.261  0.261  0.333
Pr  0.739  0.739  0.333
Pr  0.239  0.761  0.833
Pr  0.761  0.239  0.833
Pr  0.239  0.761  0.167
Pr  0.761  0.239  0.167
Pr  0.261  0.261  0.667
Pr  0.739  0.739  0.667
Pr  0.261  0.261  0.000
Pr  0.739  0.739  0.000
Pr  0.239  0.761  0.500
Pr  0.761  0.239  0.500
Dy  0.000  0.000  0.000
Dy  0.500  0.500  0.500

## Properties
magnetic moment = 0.0 μB/cell
density of states at the Fermi level = 16.1 states/eV/f.u.
space group = P4_2/mnm

Q: Which of them is the least stable? A: arrangement Q.

Arrangement P

Density functional theory data (PBE) for crystalline Tb5Pr2Dy2 at its relaxed geometry.

Cell lengths 3.504, 8.260, 12.637 Å; angles 120.38, 97.97, 90.00 degrees
Atoms (fractional coordinates):
Tb  0.690  0.849  0.381
Tb  0.310  0.151  0.619
Tb  0.905  0.544  0.810
Tb  0.095  0.456  0.190
Tb  0.000  0.000  0.000
Pr  0.819  0.784  0.639
Pr  0.181  0.216  0.361
Dy  0.547  0.738  0.094
Dy  0.453  0.262  0.906

## Properties
magnetic moment = 0.0 μB/cell
density of states at the Fermi level = 13.0 states/eV/f.u.
space group = C2/m

Arrangement Q

Density functional theory data (PBE) for crystalline Tb5Pr2Dy2 at its relaxed geometry.

Cell lengths 11.880, 6.760, 10.137 Å; angles 109.48, 125.87, 90.00 degrees
Atoms (fractional coordinates):
Tb  0.201  0.655  0.895
Tb  0.799  0.760  0.105
Tb  0.194  0.155  0.895
Tb  0.806  0.260  0.105
Tb  0.377  0.027  0.286
Tb  0.623  0.741  0.714
Tb  0.409  0.527  0.286
Tb  0.591  0.241  0.714
Tb  0.007  0.660  0.500
Tb  0.993  0.160  0.500
Pr  0.127  0.686  0.253
Pr  0.873  0.433  0.747
Pr  0.626  0.186  0.253
Pr  0.374  0.933  0.747
Dy  0.000  0.020  0.000
Dy  0.500  0.520  0.000
Dy  0.260  0.353  0.500
Dy  0.740  0.853  0.500

## Properties
magnetic moment = 0.0 μB/cell
density of states at the Fermi level = 14.3 states/eV/f.u.
space group = Ima2

Q: Which of them is the least stable? A: arrangement P.